Entry 1:
A relaxed structure of Tb2PPb. Source: Alexandria, functional GGA-PBE.

Structure (CIF):
```
data_Tb2PPb
_chemical_formula_sum 'Tb2 P1 Pb1'
_cell_length_a 8.475
_cell_length_b 8.475
_cell_length_c 8.475
_cell_angle_alpha 26.67
_cell_angle_beta 26.67
_cell_angle_gamma 26.67
_space_group_name_H-M_alt 'P 1'
_space_group_IT_number 1
loop_
_space_group_symop_operation_xyz
'x,y,z'
loop_
_atom_site_label
_atom_site_type_symbol
_atom_site_fract_x
_atom_site_fract_y
_atom_site_fract_z
Tb1 Tb 0.000 0.000 0.000
Tb2 Tb 0.204 0.204 0.204
P1 P 0.603 0.603 0.603
Pb1 Pb 0.435 0.435 0.435
```

Properties
Calculated total energy   -5.627 eV per atom
ΔH_f (0 K)   -4.13 eV/f.u.
E above lowest polymorph   0.14 eV/f.u.
Fermi-level density of states   2.30 states/eV/f.u.
Space-group type   R3m (160)


Entry 2:
A relaxed structure of KRh2Pb. Source: Alexandria, functional GGA-PBE.

Structure (CIF):
```
data_KRh2Pb
_chemical_formula_sum 'K2 Rh4 Pb2'
_cell_length_a 6.351
_cell_length_b 6.351
_cell_length_c 6.351
_cell_angle_alpha 104.16
_cell_angle_beta 104.16
_cell_angle_gamma 120.71
_space_group_name_H-M_alt 'P 1'
_space_group_IT_number 1
loop_
_space_group_symop_operation_xyz
'x,y,z'
loop_
_atom_site_label
_atom_site_type_symbol
_atom_site_fract_x
_atom_site_fract_y
_atom_site_fract_z
K1 K 0.000 0.000 0.000
K2 K 0.750 0.250 0.500
Rh1 Rh 0.173 0.625 0.048
Rh2 Rh 0.375 0.423 0.548
Rh3 Rh 0.577 0.125 0.952
Rh4 Rh 0.875 0.827 0.452
Pb1 Pb 0.250 0.750 0.500
Pb2 Pb 0.500 0.500 0.000
```

Properties
Calculated total energy   -4.249 eV per atom
ΔH_f (0 K)   2.51 eV/f.u.
Fermi-level density of states   2.39 states/eV/f.u.
Space-group type   I-42d (122)


Entry 3:
A relaxed structure of Th2In2Cu15. Source: Alexandria, functional GGA-PBE.

Structure (CIF):
```
data_Th2In2Cu15
_chemical_formula_sum 'Th2 In2 Cu15'
_cell_length_a 6.676
_cell_length_b 6.676
_cell_length_c 6.676
_cell_angle_alpha 82.36
_cell_angle_beta 82.36
_cell_angle_gamma 82.36
_space_group_name_H-M_alt 'P 1'
_space_group_IT_number 1
loop_
_space_group_symop_operation_xyz
'x,y,z'
loop_
_atom_site_label
_atom_site_type_symbol
_atom_site_fract_x
_atom_site_fract_y
_atom_site_fract_z
Th1 Th 0.144 0.144 0.144
Th2 Th 0.856 0.856 0.856
In1 In 0.393 0.393 0.393
In2 In 0.607 0.607 0.607
Cu1 Cu 0.000 0.500 0.500
Cu2 Cu 0.150 0.150 0.659
Cu3 Cu 0.150 0.659 0.150
Cu4 Cu 0.195 0.500 0.805
Cu5 Cu 0.195 0.805 0.500
Cu6 Cu 0.341 0.850 0.850
Cu7 Cu 0.500 0.000 0.500
Cu8 Cu 0.500 0.195 0.805
Cu9 Cu 0.500 0.500 0.000
Cu10 Cu 0.500 0.805 0.195
Cu11 Cu 0.659 0.150 0.150
Cu12 Cu 0.805 0.195 0.500
Cu13 Cu 0.805 0.500 0.195
Cu14 Cu 0.850 0.341 0.850
Cu15 Cu 0.850 0.850 0.341
```

Properties
Calculated total energy   -4.382 eV per atom
ΔH_f (0 K)   -1.50 eV/f.u.
Fermi-level density of states   10.23 states/eV/f.u.
Space-group type   R-3m (166)